one:
DFT (PBE) results for an optimized crystal structure of Ac2SO.

Cell: 3.9984 3.9984 7.2122 Å, 73.91 73.91 60.00°
Positions (direct):
S 0.0000 0.0000 0.0000
O 0.5000 0.5000 0.5000
Ac 0.2387 0.2387 0.2839
Ac 0.7613 0.7613 0.7161

---

two:
DFT (PBE) results for an optimized crystal structure of Ac2SO.

Cell: 3.5199 3.5199 7.0742 Å, 90.00 90.00 90.00°
Positions (direct):
S 0.5000 0.5000 0.5000
Ac 0.0000 0.0000 0.2381
Ac 0.0000 0.0000 0.7619
O 0.5000 0.5000 0.0000

---

Order of stability, best first: one, two

---

one:
DFT (PBE) results for an optimized crystal structure of AcSO.

Cell: 4.1850 5.7082 10.7367 Å, 135.75 90.00 111.51°
Positions (direct):
Ac 0.4230 0.8460 0.7299
Ac 0.5770 0.1540 0.2701
O 0.1034 0.2067 0.3960
O 0.8966 0.7933 0.6040
S 0.1552 0.3105 0.1093
S 0.8448 0.6895 0.8907

---

two:
DFT (PBE) results for an optimized crystal structure of AcSO.

Cell: 4.6870 4.6870 4.6870 Å, 60.00 60.00 60.00°
Site moments in Bohr magnetons follow the coordinates.
Positions (direct):
Ac 0.2500 0.2500 0.2500  0.02
S 0.0000 0.0000 0.0000  0.23
O 0.5000 0.5000 0.5000  0.53

---

Order of stability, best first: one, two

---

one:
DFT (PBE) results for an optimized crystal structure of Ac2SbO6.

Cell: 6.2517 6.2517 6.1196 Å, 57.39 57.39 53.13°
Positions (direct):
O 0.1808 0.6679 0.7941
O 0.6679 0.1808 0.7941
O 0.7048 0.7048 0.4143
O 0.3321 0.8192 0.2059
O 0.8192 0.3321 0.2059
O 0.2952 0.2952 0.5857
Sb 0.5000 0.5000 0.5000
Ac 0.2501 0.2501 0.2381
Ac 0.7499 0.7499 0.7619

---

two:
DFT (PBE) results for an optimized crystal structure of Ac2SbO6.

Cell: 5.8858 6.5366 8.1164 Å, 90.00 96.19 90.00°
Site moments in Bohr magnetons follow the coordinates.
Positions (direct):
O 0.7848 0.6463 0.9508  0.05
O 0.8645 0.7336 0.5740  0.23
O 0.1390 0.0624 0.7284  0.17
O 0.6355 0.2336 0.9260  0.23
O 0.7152 0.1463 0.5492  0.05
O 0.2152 0.3537 0.0492  0.05
O 0.1355 0.2664 0.4260  0.23
O 0.6390 0.4376 0.2284  0.17
O 0.3645 0.7664 0.0740  0.23
O 0.8610 0.9376 0.2716  0.17
O 0.3610 0.5624 0.7716  0.17
O 0.2848 0.8537 0.4508  0.05
Ac 0.5356 0.9160 0.7483  0.01
Ac 0.0356 0.5840 0.2483  0.01
Ac 0.9644 0.4160 0.7517  0.01
Ac 0.4644 0.0840 0.2517  0.01
Sb 0.5000 0.5000 0.0000  -0.01
Sb 0.0000 0.0000 0.5000  -0.01

---

Order of stability, best first: two, one

---

one:
DFT (PBE) results for an optimized crystal structure of AcSbO.

Cell: 4.0444 4.0444 6.1847 Å, 90.00 90.00 120.00°
Positions (direct):
Ac 0.6667 0.3333 0.4999
Sb 0.0000 0.0000 0.9999
O 0.3333 0.6667 0.5002

---

two:
DFT (PBE) results for an optimized crystal structure of AcSbO.

Cell: 4.3266 4.3629 8.3209 Å, 86.94 90.00 90.00°
Positions (direct):
Sb 0.2500 0.2825 0.5535
Sb 0.7500 0.7175 0.4465
Ac 0.7500 0.7646 0.8527
Ac 0.2500 0.2354 0.1473
O 0.7500 0.2499 0.9989
O 0.2500 0.7501 0.0011

---

Order of stability, best first: two, one

---

one:
DFT (PBE) results for an optimized crystal structure of Ac2SbO2.

Cell: 6.7426 6.7426 7.0259 Å, 108.58 108.58 109.53°
Positions (direct):
Ac 0.5561 0.4439 0.7500
Ac 0.8065 0.1935 0.2500
Ac 0.1935 0.8065 0.7500
Ac 0.4439 0.5561 0.2500
Sb 0.8754 0.1246 0.7500
Sb 0.1246 0.8754 0.2500
O 0.5051 0.7553 0.0105
O 0.7553 0.5051 0.5105
O 0.4949 0.2447 0.9895
O 0.2447 0.4949 0.4895

---

two:
DFT (PBE) results for an optimized crystal structure of Ac2SbO2.

Cell: 4.1970 4.1971 7.8616 Å, 105.48 105.48 90.00°
Positions (direct):
Ac 0.3388 0.3388 0.6776
Ac 0.6612 0.6612 0.3224
Sb 0.0000 0.0000 0.0000
O 0.2500 0.7500 0.5000
O 0.7500 0.2500 0.5000

---

Order of stability, best first: two, one

---

one:
DFT (PBE) results for an optimized crystal structure of Ac3SbO3.

Cell: 4.3938 10.0127 10.0105 Å, 119.99 90.00 90.00°
Positions (direct):
O 0.2500 0.2693 0.2890
O 0.7500 0.9802 0.2696
O 0.7500 0.7307 0.7110
O 0.7500 0.2892 0.0197
O 0.2500 0.0198 0.7304
O 0.2500 0.7108 0.9803
Ac 0.2500 0.6231 0.7150
Ac 0.7500 0.9081 0.6230
Ac 0.7500 0.3769 0.2850
Ac 0.2500 0.2851 0.9080
Ac 0.7500 0.7149 0.0920
Ac 0.2500 0.0919 0.3770
Sb 0.7500 0.3335 0.6666
Sb 0.2500 0.6666 0.3334

---

two:
DFT (PBE) results for an optimized crystal structure of Ac3SbO3.

Cell: 7.3741 7.3741 9.0314 Å, 65.91 65.91 60.00°
Positions (direct):
O 0.1337 0.4486 0.6167
O 0.8663 0.5514 0.3833
O 0.8009 0.1337 0.6167
O 0.5514 0.1991 0.3833
O 0.4486 0.8009 0.6167
O 0.1991 0.8663 0.3833
Ac 0.0984 0.7517 0.6990
Ac 0.5490 0.9016 0.3010
Ac 0.2483 0.5490 0.3010
Ac 0.4510 0.0984 0.6990
Ac 0.9016 0.2483 0.3010
Ac 0.7517 0.4510 0.6990
Sb 0.3336 0.3336 0.9993
Sb 0.6664 0.6664 0.0007

---

Order of stability, best first: two, one

---

one:
DFT (PBE) results for an optimized crystal structure of Ac3ScO6.

Cell: 6.0052 7.8763 7.8763 Å, 102.87 90.00 90.00°
Positions (direct):
O 0.6759 0.8905 0.4120
O 0.2090 0.6703 0.6480
O 0.1496 0.0449 0.9551
O 0.7090 0.3297 0.3520
O 0.1759 0.1095 0.5880
O 0.1759 0.4120 0.8905
O 0.2090 0.3520 0.3297
O 0.6759 0.5880 0.1095
O 0.6715 0.2145 0.7855
O 0.1715 0.7855 0.2145
O 0.6496 0.9551 0.0449
O 0.7090 0.6480 0.6703
Sc 0.5075 0.8088 0.1912
Sc 0.0076 0.1912 0.8088
Ac 0.4739 0.3020 0.0864
Ac 0.9390 0.6050 0.3950
Ac 0.9739 0.6980 0.9136
Ac 0.4739 0.9136 0.6980
Ac 0.4390 0.3950 0.6050
Ac 0.9739 0.0864 0.3020

---

two:
DFT (PBE) results for an optimized crystal structure of Ac3ScO6.

Cell: 7.1511 7.1511 7.1511 Å, 92.81 92.81 92.81°
Positions (direct):
Sc 0.0000 0.0000 0.0000
Sc 0.5000 0.5000 0.5000
O 0.5845 0.4584 0.7901
O 0.5416 0.2099 0.4155
O 0.4583 0.7901 0.5845
O 0.0617 0.9258 0.2935
O 0.9383 0.0742 0.7065
O 0.0742 0.7065 0.9383
O 0.2099 0.4155 0.5416
O 0.7065 0.9383 0.0742
O 0.7901 0.5845 0.4584
O 0.4155 0.5417 0.2099
O 0.2935 0.0617 0.9258
O 0.9258 0.2935 0.0617
Ac 0.0714 0.5636 0.2559
Ac 0.4364 0.7441 0.9286
Ac 0.2559 0.0714 0.5636
Ac 0.5636 0.2559 0.0714
Ac 0.9286 0.4364 0.7441
Ac 0.7441 0.9286 0.4364

---

Order of stability, best first: one, two

---

one:
DFT (PBE) results for an optimized crystal structure of Ac2SeO6.

Cell: 5.6526 5.5753 7.9177 Å, 90.00 89.89 90.00°
Positions (direct):
O 0.7717 0.2301 0.5186
O 0.2717 0.2699 0.0186
O 0.7264 0.2679 0.9815
O 0.5363 0.4999 0.2292
O 0.9637 0.9999 0.2708
O 0.2283 0.7699 0.4814
O 0.2736 0.7321 0.0185
O 0.2264 0.2321 0.4815
O 0.7736 0.7679 0.5185
O 0.0363 0.0001 0.7292
O 0.4637 0.5001 0.7708
O 0.7283 0.7301 0.9814
Ac 0.0001 0.5007 0.2492
Ac 0.4999 0.0007 0.2507
Ac 0.9999 0.4993 0.7508
Ac 0.5001 0.9993 0.7492
Se 0.5000 0.5000 0.0000
Se 0.0000 0.0000 0.5000

---

two:
DFT (PBE) results for an optimized crystal structure of Ac2SeO6.

Cell: 4.5755 5.4665 5.4665 Å, 60.02 89.94 89.94°
Positions (direct):
O 0.2171 0.3273 0.8364
O 0.2171 0.8364 0.3273
O 0.7829 0.6727 0.1636
O 0.7829 0.1636 0.6727
O 0.2176 0.8363 0.8363
O 0.7824 0.1637 0.1637
Ac 0.7384 0.6668 0.6668
Ac 0.2616 0.3332 0.3332
Se 0.0000 0.0000 0.0000

---

Order of stability, best first: one, two

---

one:
DFT (PBE) results for an optimized crystal structure of Ac3SeO3.

Cell: 7.3420 7.3420 8.5102 Å, 64.45 64.45 60.00°
Positions (direct):
Ac 0.7650 0.4251 0.7144
Ac 0.9045 0.2350 0.2856
Ac 0.0955 0.7650 0.7144
Ac 0.4251 0.0955 0.7144
Ac 0.2350 0.5749 0.2856
Ac 0.5749 0.9045 0.2856
O 0.5400 0.2092 0.3751
O 0.1243 0.4600 0.6249
O 0.4600 0.7908 0.6249
O 0.7908 0.1243 0.6249
O 0.2092 0.8757 0.3751
O 0.8757 0.5400 0.3751
Se 0.6667 0.6667 0.9999
Se 0.3333 0.3333 0.0001

---

two:
DFT (PBE) results for an optimized crystal structure of Ac3SeO3.

Cell: 4.3174 9.7915 9.7915 Å, 120.00 90.00 90.00°
Positions (direct):
O 0.7500 0.6446 0.0487
O 0.2500 0.5958 0.6446
O 0.7500 0.9513 0.5958
O 0.2500 0.0487 0.4042
O 0.7500 0.4042 0.3554
O 0.2500 0.3554 0.9513
Ac 0.7500 0.6893 0.5878
Ac 0.2500 0.1014 0.6893
Ac 0.2500 0.5878 0.8986
Ac 0.7500 0.8986 0.3107
Ac 0.2500 0.3107 0.4122
Ac 0.7500 0.4122 0.1014
Se 0.2500 0.6667 0.3333
Se 0.7500 0.3333 0.6667

---

Order of stability, best first: one, two

---

one:
DFT (PBE) results for an optimized crystal structure of Ac4Si2O.

Cell: 4.9844 4.9844 9.2370 Å, 105.65 105.65 90.00°
Site moments in Bohr magnetons follow the coordinates.
Positions (direct):
Si 0.3670 0.3670 0.7340  -0.01
Si 0.6330 0.6330 0.2660  -0.01
Ac 0.1822 0.1822 0.3644  0.09
Ac 0.0000 0.5000 0.0000  0.03
Ac 0.5000 0.0000 0.0000  0.03
Ac 0.8178 0.8178 0.6356  0.09
O 0.0000 0.0000 0.0000  0.00

---

two:
DFT (PBE) results for an optimized crystal structure of Ac4Si2O.

Cell: 7.2231 7.3871 8.8932 Å, 90.00 107.94 90.00°
Positions (direct):
Si 0.7325 0.7500 0.5599
Si 0.2820 0.2500 0.9481
Si 0.2675 0.2500 0.4401
Si 0.7180 0.7500 0.0519
Ac 0.0543 0.7500 0.3748
Ac 0.9457 0.2500 0.6252
Ac 0.4930 0.5005 0.2541
Ac 0.5070 0.0005 0.7459
Ac 0.4930 0.9995 0.2541
Ac 0.9304 0.2500 0.0938
Ac 0.5070 0.4995 0.7459
Ac 0.0696 0.7500 0.9062
O 0.2606 0.7500 0.1905
O 0.7394 0.2500 0.8095

---

Order of stability, best first: two, one